1.
Ta6Ga2N | GGA-PBE | relaxed

abc: 5.4248 6.5851 9.7259
angles: 90.00 123.10 90.00
Atoms (fractional coordinates):
Ta (0.1053, 0.1722, 0.4554)
Ta (0.1053, 0.3278, 0.9554)
Ta (0.3011, 0.7019, 0.4520)
Ta (0.3011, 0.7981, 0.9520)
Ta (0.3330, 0.0087, 0.2351)
Ta (0.3330, 0.4913, 0.7351)
Ta (0.6670, 0.5087, 0.2649)
Ta (0.6670, 0.9913, 0.7649)
Ta (0.6989, 0.2019, 0.0480)
Ta (0.6989, 0.2981, 0.5480)
Ta (0.8947, 0.6722, 0.0446)
Ta (0.8947, 0.8278, 0.5446)
Ga (0.1935, 0.1095, 0.7583)
Ga (0.1935, 0.3905, 0.2583)
Ga (0.8065, 0.6095, 0.7417)
Ga (0.8065, 0.8905, 0.2417)
N (0.5000, 0.0000, 0.5000)
N (0.5000, 0.5000, 0.0000)

Output
- D(E_F) (states/eV/f.u.) = 3.72
- formation energy without anion corrections (eV/atom) = -0.312
- VASP energy (eV per atom) = -9.8116
- theoretical density (g/cm3) = 14.14

2.
GaGeRu2I | GGA-PBE | relaxed

abc: 4.9006 4.9006 5.4078
angles: 90.00 90.00 90.00
Atoms (fractional coordinates):
Ga (0.0000, 0.0000, 0.0000)
Ge (0.5000, 0.5000, 0.0000)
Ru (0.0000, 0.5000, 0.5000)
Ru (0.5000, 0.0000, 0.5000)
I (0.5000, 0.5000, 0.5000)

Output
- D(E_F) (states/eV/f.u.) = 6.31
- formation energy without anion corrections (eV/atom) = 1.627
- VASP energy (eV per atom) = -3.9219
- theoretical density (g/cm3) = 6.03

> Which of these has the highest formation energy without anion corrections?

GaGeRu2I

> Look up the theoretical density of the second one.

6.03 g/cm3